(1)
AlNiAs2Br | GGA-PBEsol | optimized geometry

Cell lengths 4.773, 4.773, 4.841 Å; angles 90.00, 90.00, 90.00 degrees
Fractional coordinates of all 5 atoms:
Al 0.000 0.000 0.000
Ni 0.500 0.500 0.500
As 0.000 0.500 0.000
As 0.500 0.000 0.000
Br 0.000 0.000 0.500

DOS(E_F), states/eV per atom: 1.09
Calculated density, g cm⁻³: 4.75
Space group: P4/mmm (123)
E_tot, eV per atom: -3.61

(2)
LaCdCl2 | GGA-PBEsol | optimized geometry

Cell lengths 3.892, 4.572, 6.366 Å; angles 90.00, 98.67, 90.00 degrees
Fractional coordinates of all 4 atoms:
La 0.000 0.000 0.000
Cd 0.500 0.000 0.500
Cl 0.144 0.500 0.769
Cl 0.856 0.500 0.231

DOS(E_F), states/eV per atom: 0.37
Calculated density, g cm⁻³: 4.78
Space group: P2/m (10)
Excess energy over the best structure of this formula in the dataset, kJ/mol of formula units: 0
E_tot, eV per atom: -3.85

(3)
NbZn3Ir | GGA-PBEsol | optimized geometry

Cell lengths 4.704, 4.704, 4.704 Å; angles 90.00, 90.00, 90.00 degrees
Fractional coordinates of all 5 atoms:
Nb 0.000 0.000 0.000
Zn 0.000 0.000 0.500
Zn 0.000 0.500 0.000
Zn 0.500 0.000 0.000
Ir 0.500 0.500 0.500

DOS(E_F), states/eV per atom: 0.72
Calculated density, g cm⁻³: 7.68
Space group: Pm-3m (221)
Formation enthalpy at 0 K, eV/atom: 1.91
E_tot, eV per atom: -3.17